Record 1
In3TcAg | Alexandria via LeMat-Bulk | PBEsol | optimized geometry; crystal system = cubic; formation energy = 0.60 eV/atom
1.0
5.090 0.000 0.000
0.000 5.090 0.000
0.000 0.000 5.090
Ag In Tc
1 3 1
direct
0.500 0.500 0.500
0.000 0.000 0.500
0.000 0.500 0.000
0.500 0.000 0.000
0.000 0.000 0.000

Record 2
InTc2Ag | Alexandria via LeMat-Bulk | PBEsol | optimized geometry; crystal system = orthorhombic; formation energy = 0.47 eV/atom
1.0
3.174 0.000 0.000
0.000 4.331 0.000
-1.587 -2.166 4.649
Tc Ag In
2 1 1
direct
0.752 0.752 0.505
0.248 0.248 0.495
0.000 0.500 0.000
0.500 0.000 0.000

Record 3
ZnInTcAg2 | Alexandria via LeMat-Bulk | PBEsol | optimized geometry; crystal system = tetragonal; formation energy = 1.50 eV/atom
1.0
-2.501 0.653 3.984
0.917 -4.709 1.348
4.136 1.479 2.354
Ag Tc Zn In
2 1 1 1
direct
0.000 0.000 0.500
0.000 0.500 0.000
0.500 0.500 0.500
0.500 0.000 0.000
0.000 0.000 0.000

Record 4
In2AgTe | Alexandria via LeMat-Bulk | PBEsol | optimized geometry; crystal system = tetragonal; formation energy from raw total energies = 0.10 eV/f.u.
1.0
-2.672 1.848 1.077
-1.765 -2.878 0.560
2.854 -0.279 7.557
Te In Ag
1 2 1
direct
0.500 0.500 0.000
0.000 0.000 0.717
0.000 0.000 0.283
0.500 0.500 0.500

Calculated magnetic moment, 0.0, 0.0, 3.8, 0.0 Bohr magnetons per cell (same order as the records).
Calculated density, 6.9, 10.9, 7.0, 8.2 g/cm³ (same order as the records).
Calculated density of states at the Fermi level, 3.8, 3.5, 4.0, 1.9 states/eV/f.u. (same order as the records).